Entry 1:
First-principles (PBE) data for an optimized crystal structure of Li3FeH, as listed in the Alexandria database.

## Properties
Crystal system ... cubic
DOS(E_F) ... 5.9 states/eV per cell
SG ... No. 221
Uncorrected energy ... -16.20 eV per cell
Offset from the most stable computed form ... 0.0 kJ per mole of atoms

```
Li3FeH
1.0
3.920 0.000 0.000
0.000 3.920 0.000
0.000 0.000 3.920
Li Fe H
3 1 1
Direct
0.000 0.500 0.000
0.500 0.000 0.000
0.000 0.000 0.500
0.500 0.500 0.500
0.000 0.000 0.000
```


Entry 2:
First-principles (PBE) data for an optimized crystal structure of Li2FeH6, as listed in the Alexandria database.

## Properties
Crystal system ... orthorhombic
SG ... No. 71
Uncorrected energy ... -33.88 eV per cell
Offset from the most stable computed form ... 0.0 kJ per mole of atoms

```
Li2FeH6
1.0
2.731 0.000 -0.883
-0.671 3.984 -2.077
0.122 0.058 5.039
Li H Fe
2 6 1
Direct
0.670 0.670 0.341
0.330 0.330 0.659
0.138 0.910 0.276
0.500 0.183 0.000
0.862 0.634 0.724
0.138 0.366 0.276
0.862 0.090 0.724
0.500 0.817 0.000
0.000 0.000 0.000
```


Entry 3:
First-principles (PBE) data for an optimized crystal structure of Li3FeH6, as listed in the Alexandria database.

## Properties
Crystal system ... tetragonal
DOS(E_F) ... 6.9 states/eV per cell
SG ... No. 139
Uncorrected energy ... -35.95 eV per cell
Offset from the most stable computed form ... 5.6 kJ per mole of atoms

```
Li3FeH6
1.0
4.781 0.010 0.014
-2.379 4.147 -0.014
-2.379 -1.398 3.905
H Li Fe
6 3 1
Direct
0.000 0.235 0.235
0.324 0.000 0.324
0.324 0.324 0.000
0.676 0.000 0.676
0.676 0.676 0.000
0.000 0.765 0.765
0.500 0.750 0.250
0.000 0.500 0.500
0.500 0.250 0.750
0.000 0.000 0.000
```


Entry 4:
First-principles (PBE) data for an optimized crystal structure of Li2FeH6, as listed in the Alexandria database.

## Properties
Crystal system ... tetragonal
DOS(E_F) ... 11.2 states/eV per cell
SG ... No. 136
Uncorrected energy ... -64.07 eV per cell
Offset from the most stable computed form ... 19.8 kJ per mole of atoms

```
Li2FeH6
1.0
4.204 0.000 0.000
0.000 4.204 0.000
0.000 0.000 8.323
H Li Fe
12 4 2
Direct
0.767 0.233 0.500
0.823 0.177 0.143
0.677 0.677 0.357
0.177 0.823 0.143
0.323 0.323 0.357
0.323 0.323 0.643
0.823 0.177 0.857
0.733 0.733 0.000
0.233 0.767 0.500
0.267 0.267 0.000
0.177 0.823 0.857
0.677 0.677 0.643
0.000 0.000 0.336
0.500 0.500 0.836
0.000 0.000 0.664
0.500 0.500 0.164
0.000 0.000 0.000
0.500 0.500 0.500
```


Entry 5:
First-principles (PBE) data for an optimized crystal structure of Li2MgFeH8, as listed in the Alexandria database.

## Properties
Crystal system ... trigonal
DOS(E_F) ... 4.7 states/eV per cell
SG ... No. 164
Uncorrected energy ... -40.53 eV per cell

```
Li2MgFeH8
1.0
4.353 0.000 0.000
-2.177 3.770 0.000
0.000 0.000 5.436
H Li Fe Mg
8 2 1 1
Direct
0.833 0.167 0.828
0.167 0.833 0.172
0.833 0.666 0.828
0.666 0.833 0.172
0.667 0.333 0.481
0.334 0.167 0.828
0.167 0.334 0.172
0.333 0.667 0.519
0.667 0.333 0.136
0.333 0.667 0.864
0.000 0.000 0.000
0.000 0.000 0.500
```


Entry 6:
First-principles (PBE) data for an optimized crystal structure of LiMg2FeH6, as listed in the Alexandria database.

## Properties
Crystal system ... trigonal
DOS(E_F) ... 1.8 states/eV per cell
SG ... No. 164
Uncorrected energy ... -35.91 eV per cell

```
LiMg2FeH6
1.0
4.956 0.000 0.000
0.000 4.500 0.000
0.000 -2.250 3.897
H Li Fe Mg
6 1 1 2
Direct
0.200 0.322 0.161
0.800 0.678 0.839
0.800 0.161 0.839
0.200 0.839 0.161
0.200 0.839 0.678
0.800 0.161 0.322
0.500 0.000 0.000
0.000 0.000 0.000
0.851 0.667 0.333
0.149 0.333 0.667
```


Entry 7:
First-principles (PBE) data for an optimized crystal structure of LiMgFeH2, as listed in the Alexandria database.

## Properties
Crystal system ... tetragonal
DOS(E_F) ... 1.1 states/eV per cell
SG ... No. 123
Uncorrected energy ... -14.66 eV per cell

```
LiMgFeH2
1.0
-1.820 1.220 -2.889
-4.087 -1.880 1.781
-0.673 3.110 1.738
H Mg Fe Li
2 1 1 1
Direct
0.500 0.000 0.000
0.000 0.000 0.500
0.000 0.500 0.000
0.500 0.500 0.500
0.000 0.000 0.000
```


Entry 8:
First-principles (PBE) data for an optimized crystal structure of LiMg2FeH8, as listed in the Alexandria database.

## Properties
Crystal system ... trigonal
DOS(E_F) ... 5.8 states/eV per cell
SG ... No. 164
Uncorrected energy ... -41.73 eV per cell

```
LiMg2FeH8
1.0
-2.146 2.705 -2.739
0.218 -4.312 -0.883
-4.765 -0.836 2.907
H Li Mg Fe
8 1 2 1
Direct
0.667 0.333 0.496
0.333 0.667 0.504
0.164 0.328 0.166
0.164 0.836 0.166
0.836 0.672 0.834
0.328 0.164 0.834
0.672 0.836 0.166
0.836 0.164 0.834
0.000 0.000 0.500
0.333 0.667 0.836
0.667 0.333 0.164
0.000 0.000 0.000
```


Entry 9:
First-principles (PBE) data for an optimized crystal structure of Li2MnFeH, as listed in the Alexandria database.

## Properties
Crystal system ... tetragonal
DOS(E_F) ... 2.2 states/eV per cell
SG ... No. 123
Uncorrected energy ... -21.27 eV per cell

```
Li2MnFeH
1.0
-4.258 1.468 1.652
0.059 -2.137 2.049
2.208 2.979 3.044
Mn H Li Fe
1 1 2 1
Direct
0.000 0.000 0.000
0.000 0.500 0.000
0.500 0.000 0.000
0.000 0.000 0.500
0.500 0.500 0.500
```


Entry 10:
First-principles (PBE) data for an optimized crystal structure of LiMn2FeH, as listed in the Alexandria database.

## Properties
Crystal system ... tetragonal
DOS(E_F) ... 3.6 states/eV per cell
SG ... No. 123
Uncorrected energy ... -25.67 eV per cell

```
LiMn2FeH
1.0
-2.385 -3.333 -1.055
2.533 -0.539 -4.024
2.683 -2.564 2.033
H Mn Fe Li
1 2 1 1
Direct
0.500 0.500 0.500
0.500 0.000 0.000
0.000 0.000 0.500
0.000 0.000 0.000
0.000 0.500 0.000
```


Entry 11:
First-principles (PBE) data for an optimized crystal structure of Li2MnFeH6, as listed in the Alexandria database.

## Properties
Crystal system ... orthorhombic
DOS(E_F) ... 3.1 states/eV per cell
SG ... No. 59
Uncorrected energy ... -85.34 eV per cell

```
Li2MnFeH6
1.0
-1.841 -2.490 -3.525
-3.340 -1.606 2.878
-3.907 5.200 -1.633
Fe H Mn Li
2 12 2 4
Direct
0.000 0.751 0.000
0.500 0.249 0.500
0.242 0.509 0.000
0.500 0.247 0.740
0.000 0.753 0.240
0.500 0.247 0.260
0.258 0.491 0.500
0.758 0.509 0.000
0.742 0.491 0.500
0.259 0.007 0.500
0.741 0.007 0.500
0.759 0.993 0.000
0.000 0.753 0.760
0.241 0.993 0.000
0.000 0.749 0.500
0.500 0.251 0.000
0.000 0.249 0.750
0.000 0.249 0.250
0.500 0.751 0.250
0.500 0.751 0.750
```


Entry 12:
First-principles (PBE) data for an optimized crystal structure of LiFeHN, as listed in the Alexandria database.

## Properties
Crystal system ... trigonal
DOS(E_F) ... 1.4 states/eV per cell
SG ... No. 160
Uncorrected energy ... -23.05 eV per cell

```
LiFeHN
1.0
2.751 0.000 0.000
1.376 2.383 0.000
1.376 0.794 4.872
Li Fe N H
1 1 1 1
Direct
0.683 0.683 0.951
0.866 0.866 0.403
0.265 0.265 0.205
0.461 0.461 0.618
```


Question: Number 5 is which compound?
Answer: Li2MgFeH8


Question: Among the records above, which one has the lowest uncorrected energy?
Answer: Li2MnFeH6


Question: Which value of uncorrected energy does entry 2 give?
Answer: -33.88 eV per cell


Question: Which of these has the lowest uncorrected energy?
Answer: Li2MnFeH6